# 1
Computed, not measured: CaAc2Sn3Pd4 after structural relaxation at the GGA-PBE level of DFT.

Output
DOS at the Fermi energy: 0.41 states/eV/atom
Energy of formation: -0.812 eV/atom
Spin magnetization: 0.00 μB per formula unit
Electronic total energy: -51.12 eV/cell

The structure in POSCAR format:
```
CaAc2Sn3Pd4
1.0
4.697 0.000 0.000
0.000 4.697 0.000
0.000 0.000 11.225
Ca Ac Sn Pd
1 2 3 4
direct
0.500 0.500 0.500 Ca
0.500 0.000 0.228 Ac
0.000 0.500 0.772 Ac
0.000 0.000 0.500 Sn
0.500 0.000 0.879 Sn
0.000 0.500 0.121 Sn
0.500 0.500 0.000 Pd
0.000 0.000 0.000 Pd
0.500 0.000 0.643 Pd
0.000 0.500 0.357 Pd
```

# 2
Computed, not measured: CaAcSnPd after structural relaxation at the GGA-PBE level of DFT.

Output
DOS at the Fermi energy: 0.59 states/eV/atom
Energy of formation: -0.640 eV/atom
Spin magnetization: 0.00 μB per formula unit
Electronic total energy: -17.87 eV/cell

The structure in POSCAR format:
```
CaAcSnPd
1.0
-1.387 4.733 -2.317
-5.148 0.862 -1.566
-3.116 3.553 2.714
Ac Ca Sn Pd
1 1 1 1
direct
0.000 0.000 0.000 Ac
0.500 0.500 0.500 Ca
0.250 0.250 0.250 Sn
0.750 0.750 0.750 Pd
```

# 3
Computed, not measured: CaAcSn2Pd5 after structural relaxation at the GGA-PBE level of DFT.

Output
DOS at the Fermi energy: 0.63 states/eV/atom
Energy of formation: -0.674 eV/atom
Spin magnetization: 0.00 μB per formula unit
Electronic total energy: -46.14 eV/cell

The structure in POSCAR format:
```
CaAcSn2Pd5
1.0
-2.295 -1.802 3.561
1.025 -4.236 -1.483
7.821 0.110 5.095
Ca Ac Sn Pd
1 1 2 5
direct
0.000 0.000 0.000 Ca
0.000 0.000 0.500 Ac
0.500 0.500 0.152 Sn
0.500 0.500 0.848 Sn
0.000 0.500 0.286 Pd
0.500 0.000 0.286 Pd
0.000 0.500 0.714 Pd
0.500 0.000 0.714 Pd
0.500 0.500 0.500 Pd
```

# 4
Computed, not measured: SrCaAcPd2 after structural relaxation at the GGA-PBE level of DFT.

Output
DOS at the Fermi energy: 0.51 states/eV/atom
Energy of formation: -0.593 eV/atom
Spin magnetization: 0.00 μB per formula unit
Electronic total energy: -42.28 eV/cell

The structure in POSCAR format:
```
SrCaAcPd2
1.0
4.487 0.000 0.000
2.243 9.100 -0.938
2.243 0.597 7.790
Sr Ca Ac Pd
2 2 2 4
direct
0.393 0.378 0.836 Sr
0.607 0.622 0.164 Sr
0.078 0.049 0.794 Ca
0.922 0.951 0.206 Ca
0.816 0.735 0.633 Ac
0.184 0.265 0.367 Ac
0.325 0.905 0.444 Pd
0.675 0.095 0.556 Pd
0.815 0.271 0.099 Pd
0.185 0.729 0.901 Pd
```

# 5
Computed, not measured: CaAc2Zn4Pd3 after structural relaxation at the GGA-PBE level of DFT.

Output
DOS at the Fermi energy: 0.54 states/eV/atom
Energy of formation: -0.533 eV/atom
Spin magnetization: 0.00 μB per formula unit
Electronic total energy: -36.22 eV/cell

The structure in POSCAR format:
```
CaAc2Zn4Pd3
1.0
-2.387 -3.535 0.135
3.532 -2.391 -0.160
0.607 0.065 12.401
Ca Ac Zn Pd
1 2 4 3
direct
0.500 0.500 0.500 Ca
0.500 0.000 0.220 Ac
0.000 0.500 0.780 Ac
0.500 0.500 0.000 Zn
0.000 0.000 0.000 Zn
0.500 0.000 0.661 Zn
0.000 0.500 0.339 Zn
0.000 0.000 0.500 Pd
0.500 0.000 0.873 Pd
0.000 0.500 0.127 Pd
```

# 6
Computed, not measured: Ca12Ac6Pm after structural relaxation at the GGA-PBE level of DFT.

Output
DOS at the Fermi energy: 1.60 states/eV/atom
Energy of formation: 0.122 eV/atom
Spin magnetization: 0.00 μB per formula unit
Electronic total energy: -51.11 eV/cell

The structure in POSCAR format:
```
Ca12Ac6Pm
1.0
9.397 0.083 -1.812
-2.210 9.134 -1.812
0.065 0.083 9.570
Ca Ac Pm
12 6 1
direct
0.597 0.178 0.597 Ca
0.178 0.597 0.597 Ca
0.597 0.597 0.178 Ca
0.403 0.822 0.403 Ca
0.822 0.403 0.403 Ca
0.403 0.403 0.822 Ca
0.259 0.000 0.741 Ca
0.259 0.741 0.000 Ca
0.000 0.259 0.741 Ca
0.741 0.000 0.259 Ca
0.741 0.259 0.000 Ca
0.000 0.741 0.259 Ca
0.151 0.151 0.410 Ac
0.849 0.590 0.849 Ac
0.590 0.849 0.849 Ac
0.849 0.849 0.590 Ac
0.151 0.410 0.151 Ac
0.410 0.151 0.151 Ac
0.000 0.000 0.000 Pm
```

# 7
Computed, not measured: CaAc6Pm3 after structural relaxation at the GGA-PBE level of DFT.

Output
DOS at the Fermi energy: 1.53 states/eV/atom
Energy of formation: 0.076 eV/atom
Spin magnetization: 0.00 μB per formula unit
Electronic total energy: -80.30 eV/cell

The structure in POSCAR format:
```
CaAc6Pm3
1.0
3.845 0.000 0.000
0.000 13.189 -4.148
0.000 -1.972 17.084
Ca Ac Pm
2 12 6
direct
0.250 0.373 0.994 Ca
0.750 0.627 0.006 Ca
0.250 0.366 0.596 Ac
0.750 0.634 0.404 Ac
0.250 0.876 0.003 Ac
0.750 0.124 0.997 Ac
0.250 0.848 0.590 Ac
0.750 0.152 0.410 Ac
0.250 0.667 0.220 Ac
0.750 0.333 0.780 Ac
0.250 0.609 0.798 Ac
0.750 0.391 0.202 Ac
0.250 0.142 0.204 Ac
0.750 0.858 0.796 Ac
0.250 0.109 0.590 Pm
0.750 0.891 0.410 Pm
0.250 0.401 0.399 Pm
0.750 0.599 0.601 Pm
0.250 0.100 0.800 Pm
0.750 0.900 0.200 Pm
```

# 8
Computed, not measured: Ca4AcPm after structural relaxation at the GGA-PBE level of DFT.

Output
DOS at the Fermi energy: 2.11 states/eV/atom
Energy of formation: 0.232 eV/atom
Spin magnetization: 2.49 μB per formula unit
Electronic total energy: -15.47 eV/cell

The structure in POSCAR format:
```
Ca4AcPm
1.0
7.134 0.000 0.000
3.567 6.178 0.000
3.567 2.059 5.825
Ac Ca Pm
1 4 1
direct
0.250 0.250 0.250 Ac
0.625 0.625 0.124 Ca
0.625 0.124 0.625 Ca
0.625 0.625 0.625 Ca
0.124 0.625 0.625 Ca
0.000 0.000 0.000 Pm
```

# 9
Computed, not measured: CaAc2Pm after structural relaxation at the GGA-PBE level of DFT.

Output
DOS at the Fermi energy: 1.39 states/eV/atom
Offset from the most stable computed form: 50 meV/atom
Energy of formation: 0.073 eV/atom
Spin magnetization: 0.00 μB per formula unit
Electronic total energy: -14.68 eV/cell

The structure in POSCAR format:
```
CaAc2Pm
1.0
-4.180 2.360 3.850
-5.967 -1.299 -0.764
-2.892 -3.655 4.018
Ac Ca Pm
2 1 1
direct
0.250 0.250 0.250 Ac
0.750 0.750 0.750 Ac
0.500 0.500 0.500 Ca
0.000 0.000 0.000 Pm
```

# 10
Computed, not measured: Ca4Ac4Pm after structural relaxation at the GGA-PBE level of DFT.

Output
DOS at the Fermi energy: 1.56 states/eV/atom
Energy of formation: 0.050 eV/atom
Spin magnetization: 0.00 μB per formula unit
Electronic total energy: -28.74 eV/cell

The structure in POSCAR format:
```
Ca4Ac4Pm
1.0
5.121 0.000 1.546
2.560 8.422 0.773
0.126 0.000 8.836
Ca Ac Pm
4 4 1
direct
0.500 0.168 0.332 Ca
0.500 0.832 0.668 Ca
0.168 0.832 0.332 Ca
0.832 0.168 0.668 Ca
0.161 0.178 0.000 Ac
0.839 0.822 0.000 Ac
0.839 0.500 0.322 Ac
0.161 0.500 0.678 Ac
0.500 0.500 0.000 Pm
```

# 11
Computed, not measured: CaAc5Pm2 after structural relaxation at the GGA-PBE level of DFT.

Output
DOS at the Fermi energy: 1.47 states/eV/atom
Energy of formation: 0.046 eV/atom
Spin magnetization: 0.00 μB per formula unit
Electronic total energy: -31.68 eV/cell

The structure in POSCAR format:
```
CaAc5Pm2
1.0
3.793 0.000 -0.754
-1.008 10.791 -5.076
-0.115 -2.252 9.342
Ca Ac Pm
1 5 2
direct
0.000 0.000 0.000 Ca
0.000 0.500 0.000 Ac
0.633 0.399 0.266 Ac
0.367 0.601 0.734 Ac
0.633 0.866 0.266 Ac
0.367 0.134 0.734 Ac
0.253 0.753 0.506 Pm
0.747 0.247 0.494 Pm
```

# 12
Computed, not measured: CaAc3Pm2 after structural relaxation at the GGA-PBE level of DFT.

Output
DOS at the Fermi energy: 1.61 states/eV/atom
Energy of formation: 0.057 eV/atom
Spin magnetization: 0.00 μB per formula unit
Electronic total energy: -46.97 eV/cell

The structure in POSCAR format:
```
CaAc3Pm2
1.0
-4.969 5.812 -0.803
-1.194 -5.633 3.419
7.878 7.625 6.542
Ca Ac Pm
2 6 4
direct
0.125 0.000 0.250 Ca
0.875 0.000 0.750 Ca
0.376 0.000 0.750 Ac
0.624 0.000 0.250 Ac
0.958 0.665 0.915 Ac
0.293 0.335 0.585 Ac
0.707 0.665 0.415 Ac
0.042 0.335 0.085 Ac
0.212 0.673 0.424 Pm
0.461 0.673 0.924 Pm
0.539 0.327 0.076 Pm
0.788 0.327 0.576 Pm
```

# 13
Computed, not measured: CaAc2Pm after structural relaxation at the GGA-PBE level of DFT.

Output
DOS at the Fermi energy: 1.27 states/eV/atom
Offset from the most stable computed form: 0 meV/atom
Energy of formation: 0.023 eV/atom
Spin magnetization: 0.00 μB per formula unit
Electronic total energy: -14.88 eV/cell

The structure in POSCAR format:
```
CaAc2Pm
1.0
3.885 0.000 0.000
1.942 3.364 0.000
1.942 1.121 12.638
Ca Ac Pm
1 2 1
direct
0.500 0.500 0.500 Ca
0.747 0.747 0.759 Ac
0.253 0.253 0.241 Ac
0.000 0.000 0.000 Pm
```

# 14
Computed, not measured: CaAc6Pm2 after structural relaxation at the GGA-PBE level of DFT.

Output
DOS at the Fermi energy: 1.70 states/eV/atom
Energy of formation: 0.216 eV/atom
Spin magnetization: 0.00 μB per formula unit
Electronic total energy: -34.21 eV/cell

The structure in POSCAR format:
```
CaAc6Pm2
1.0
-2.241 -8.392 -1.057
7.144 -2.027 0.941
-6.421 -6.673 4.600
Ca Ac Pm
1 6 2
direct
0.000 0.000 0.000 Ca
0.837 0.143 0.784 Ac
0.460 0.345 0.691 Ac
0.837 0.641 0.784 Ac
0.163 0.857 0.216 Ac
0.540 0.655 0.309 Ac
0.163 0.359 0.216 Ac
0.401 0.173 0.345 Pm
0.599 0.827 0.655 Pm
```

# 15
Computed, not measured: CaAc8Pm4 after structural relaxation at the GGA-PBE level of DFT.

Output
DOS at the Fermi energy: 1.44 states/eV/atom
Energy of formation: 0.405 eV/atom
Spin magnetization: 0.00 μB per formula unit
Electronic total energy: -48.61 eV/cell

The structure in POSCAR format:
```
CaAc8Pm4
1.0
10.497 -0.001 -5.663
-6.776 9.815 -0.001
-2.546 -1.757 7.841
Ca Ac Pm
1 8 4
direct
0.000 0.500 0.500 Ca
0.521 0.761 0.282 Ac
0.479 0.239 0.718 Ac
0.479 0.240 0.239 Ac
0.001 0.240 0.761 Ac
0.521 0.760 0.761 Ac
0.001 0.760 0.761 Ac
0.999 0.240 0.239 Ac
0.999 0.760 0.239 Ac
0.000 0.000 0.000 Pm
0.000 0.500 0.000 Pm
0.500 0.500 0.000 Pm
0.500 0.000 0.000 Pm
```

# 16
Computed, not measured: Ca4Ac15Pm after structural relaxation at the GGA-PBE level of DFT.

Output
DOS at the Fermi energy: 1.47 states/eV/atom
Energy of formation: 0.023 eV/atom
Spin magnetization: 0.00 μB per formula unit
Electronic total energy: -73.93 eV/cell

The structure in POSCAR format:
```
Ca4Ac15Pm
1.0
5.579 0.000 0.000
0.000 5.579 0.000
0.000 0.000 28.028
Ca Ac Pm
4 15 1
direct
0.000 0.000 0.199 Ca
0.000 0.000 0.399 Ca
0.000 0.000 0.601 Ca
0.000 0.000 0.801 Ca
0.500 0.500 0.000 Ac
0.500 0.500 0.199 Ac
0.500 0.500 0.399 Ac
0.500 0.500 0.601 Ac
0.500 0.500 0.801 Ac
0.500 0.000 0.097 Ac
0.500 0.000 0.299 Ac
0.500 0.000 0.500 Ac
0.500 0.000 0.701 Ac
0.500 0.000 0.903 Ac
0.000 0.500 0.097 Ac
0.000 0.500 0.299 Ac
0.000 0.500 0.500 Ac
0.000 0.500 0.701 Ac
0.000 0.500 0.903 Ac
0.000 0.000 0.000 Pm
```

# 17
Computed, not measured: CaAc15Pm4 after structural relaxation at the GGA-PBE level of DFT.

Output
DOS at the Fermi energy: 1.53 states/eV/atom
Energy of formation: 0.023 eV/atom
Spin magnetization: 0.00 μB per formula unit
Electronic total energy: -82.16 eV/cell

The structure in POSCAR format:
```
CaAc15Pm4
1.0
5.556 0.000 0.000
0.000 5.556 0.000
0.000 0.000 27.599
Ca Ac Pm
1 15 4
direct
0.000 0.000 0.000 Ca
0.500 0.500 0.000 Ac
0.500 0.500 0.201 Ac
0.500 0.500 0.400 Ac
0.500 0.500 0.600 Ac
0.500 0.500 0.799 Ac
0.500 0.000 0.103 Ac
0.500 0.000 0.301 Ac
0.500 0.000 0.500 Ac
0.500 0.000 0.699 Ac
0.500 0.000 0.897 Ac
0.000 0.500 0.103 Ac
0.000 0.500 0.301 Ac
0.000 0.500 0.500 Ac
0.000 0.500 0.699 Ac
0.000 0.500 0.897 Ac
0.000 0.000 0.200 Pm
0.000 0.000 0.400 Pm
0.000 0.000 0.600 Pm
0.000 0.000 0.800 Pm
```

# 18
Computed, not measured: CaAc9Pm2 after structural relaxation at the GGA-PBE level of DFT.

Output
DOS at the Fermi energy: 1.70 states/eV/atom
Energy of formation: 0.024 eV/atom
Spin magnetization: 0.00 μB per formula unit
Electronic total energy: -48.19 eV/cell

The structure in POSCAR format:
```
CaAc9Pm2
1.0
-1.137 -0.810 -5.374
0.980 -5.431 0.612
-16.053 -2.471 3.771
Ca Ac Pm
1 9 2
direct
0.000 0.000 0.000 Ca
0.500 0.500 0.000 Ac
0.500 0.500 0.335 Ac
0.500 0.500 0.665 Ac
0.500 0.000 0.171 Ac
0.500 0.000 0.500 Ac
0.500 0.000 0.829 Ac
0.000 0.500 0.171 Ac
0.000 0.500 0.500 Ac
0.000 0.500 0.829 Ac
0.000 0.000 0.333 Pm
0.000 0.000 0.667 Pm
```

# 19
Computed, not measured: Ca2Ac15Pm2 after structural relaxation at the GGA-PBE level of DFT.

Output
DOS at the Fermi energy: 1.66 states/eV/atom
Energy of formation: 0.263 eV/atom
Spin magnetization: 0.00 μB per formula unit
Electronic total energy: -70.14 eV/cell

The structure in POSCAR format:
```
Ca2Ac15Pm2
1.0
9.530 -0.323 1.856
1.468 9.422 1.856
-0.390 -0.323 9.701
Ca Ac Pm
2 15 2
direct
0.673 0.673 0.673 Ca
0.327 0.327 0.327 Ca
0.000 0.500 0.000 Ac
0.000 0.000 0.500 Ac
0.500 0.000 0.000 Ac
0.295 0.000 0.705 Ac
0.705 0.295 0.000 Ac
0.000 0.705 0.295 Ac
0.295 0.705 0.000 Ac
0.000 0.295 0.705 Ac
0.705 0.000 0.295 Ac
0.359 0.855 0.359 Ac
0.359 0.359 0.855 Ac
0.855 0.359 0.359 Ac
0.641 0.145 0.641 Ac
0.641 0.641 0.145 Ac
0.145 0.641 0.641 Ac
0.908 0.908 0.908 Pm
0.092 0.092 0.092 Pm
```

# 20
Computed, not measured: CaAc6Pm5 after structural relaxation at the GGA-PBE level of DFT.

Output
DOS at the Fermi energy: 1.56 states/eV/atom
Energy of formation: 0.037 eV/atom
Spin magnetization: 0.00 μB per formula unit
Electronic total energy: -49.96 eV/cell

The structure in POSCAR format:
```
CaAc6Pm5
1.0
-4.333 0.074 -3.392
1.760 -9.820 2.005
-3.140 4.492 8.574
Ca Ac Pm
1 6 5
direct
0.000 0.000 0.000 Ca
0.252 0.084 0.421 Ac
0.748 0.579 0.916 Ac
0.756 0.256 0.256 Ac
0.244 0.744 0.744 Ac
0.252 0.421 0.084 Ac
0.748 0.916 0.579 Ac
0.500 0.170 0.830 Pm
0.000 0.332 0.668 Pm
0.500 0.500 0.500 Pm
0.000 0.668 0.332 Pm
0.500 0.830 0.170 Pm
```

# 21
Computed, not measured: CaAcPm4 after structural relaxation at the GGA-PBE level of DFT.

Output
DOS at the Fermi energy: 1.78 states/eV/atom
Offset from the most stable computed form: 0 meV/atom
Energy of formation: 0.066 eV/atom
Spin magnetization: 0.00 μB per formula unit
Electronic total energy: -24.72 eV/cell

The structure in POSCAR format:
```
CaAcPm4
1.0
3.726 -0.004 0.371
0.004 5.281 0.014
-1.084 -0.028 11.183
Ca Ac Pm
1 1 4
direct
0.000 0.500 0.000 Ca
0.500 0.000 0.500 Ac
0.499 0.000 0.827 Pm
0.501 0.000 0.173 Pm
0.000 0.500 0.670 Pm
0.000 0.500 0.330 Pm
```